1.
The following is a PBE calculation of crystalline Dy2Al5AgRu2 at its relaxed geometry, from Alexandria via LeMat-Bulk.

a = 9.5720 Å, b = 9.5720 Å, c = 4.0547 Å
α = 90.00°, β = 90.00°, γ = 90.00°
Fractional positions:
Dy 0.1810 0.3190 0.0000
Dy 0.3190 0.8190 0.0000
Dy 0.6810 0.1810 0.0000
Dy 0.8190 0.6810 0.0000
Al 0.0000 0.5000 0.5000
Al 0.0623 0.7882 0.5000
Al 0.2118 0.0623 0.5000
Al 0.2882 0.5623 0.5000
Al 0.4377 0.2882 0.5000
Al 0.5000 0.0000 0.5000
Al 0.5623 0.7118 0.5000
Al 0.7118 0.4377 0.5000
Al 0.7882 0.9377 0.5000
Al 0.9377 0.2118 0.5000
Ag 0.0000 0.0000 0.0000
Ag 0.5000 0.5000 0.0000
Ru 0.1140 0.6140 0.0000
Ru 0.3860 0.1140 0.0000
Ru 0.6140 0.8860 0.0000
Ru 0.8860 0.3860 0.0000

Its space-group type is P4/mbm. The calculation puts the uncorrected energy at -5.340 eV per atom.



2.
The following is a PBE calculation of crystalline TaMoH at its relaxed geometry, from Alexandria via LeMat-Bulk.

a = 5.5517 Å, b = 5.5517 Å, c = 4.6761 Å
α = 114.39°, β = 114.39°, γ = 34.31°
Fractional positions:
Ta 0.1214 0.1214 0.3636
Ta 0.8786 0.8786 0.6364
Mo 0.3833 0.3833 0.1347
Mo 0.6167 0.6167 0.8653
H 0.1960 0.1960 0.8210
H 0.8040 0.8040 0.1790

Its space-group type is C2/m. The calculation puts the uncorrected energy at -8.780 eV per atom.



Number 1: DOS at the Fermi energy 10.673 states/eV/cell. Number 2: DOS at the Fermi energy 2.026 states/eV/cell.